Arrangement 1

A plane-wave DFT calculation with PBE was carried out for crystalline BePCl at its relaxed geometry.

POSCAR file:
```
BePCl
1.0
0.000 2.916 2.916
2.916 0.000 2.916
2.916 2.916 0.000
Be P Cl
1 1 1
Cartesian
0.000 0.000 0.000
4.374 4.374 4.374
1.458 1.458 1.458
```

Results
SG = No. 216

***

Arrangement 2

A plane-wave DFT calculation with PBE was carried out for crystalline BePCl at its relaxed geometry.

POSCAR file:
```
BePCl
1.0
-1.496 1.717 5.067
1.496 -1.717 5.067
1.496 1.717 -5.067
Be P Cl
1 1 1
Cartesian
0.000 0.000 0.000
0.000 0.000 4.508
0.000 0.000 2.044
```

Results
SG = No. 44

***

Verdict on stability: arrangement 1 comes out at the bottom.

***

Arrangement 1

A plane-wave DFT calculation with PBE was carried out for crystalline BePCl at its relaxed geometry.

POSCAR file:
```
BePCl
1.0
-1.406 1.406 7.075
1.406 -1.406 7.075
1.406 1.406 -7.075
Be P Cl
1 1 1
Cartesian
0.000 0.000 0.000
0.000 0.000 5.402
0.000 0.000 8.432
```

Results
SG = No. 107

***

Arrangement 2

A plane-wave DFT calculation with PBE was carried out for crystalline BePCl at its relaxed geometry.

POSCAR file:
```
BePCl
1.0
3.670 0.000 0.000
-1.835 3.178 0.000
0.000 0.000 4.601
Be P Cl
1 1 1
Cartesian
0.000 0.000 0.000
1.835 1.059 4.596
0.000 2.119 2.294
```

Results
SG = No. 156

***

Arrangement 3

A plane-wave DFT calculation with PBE was carried out for crystalline BePCl at its relaxed geometry.

POSCAR file:
```
BePCl
1.0
0.000 2.987 2.987
2.987 0.000 2.987
2.987 2.987 0.000
Be P Cl
1 1 1
Cartesian
0.000 0.000 0.000
2.987 2.987 2.987
1.493 1.493 1.493
```

Results
SG = No. 216

***

Arrangement 4

A plane-wave DFT calculation with PBE was carried out for crystalline BePCl at its relaxed geometry.

POSCAR file:
```
BePCl
1.0
0.000 2.999 7.499
1.415 0.000 7.499
1.415 2.999 0.000
Be P Cl
1 1 1
Cartesian
0.000 0.000 0.000
1.415 2.999 9.310
1.415 2.999 6.073
```

Results
SG = No. 42

***

Verdict on stability: arrangement 3 comes out at the bottom.

***

Arrangement 1

A plane-wave DFT calculation with PBE was carried out for crystalline BePCl2 at its relaxed geometry.

POSCAR file:
```
BePCl2
1.0
0.000 3.422 3.576
2.900 0.000 3.576
2.900 3.422 0.000
Be P Cl
1 1 2
Cartesian
0.000 0.000 0.000
2.900 3.422 3.576
2.900 1.711 1.788
0.000 1.711 1.788
```

Results
SG = No. 69

***

Arrangement 2

A plane-wave DFT calculation with PBE was carried out for crystalline BePCl2 at its relaxed geometry.

POSCAR file:
```
BePCl2
1.0
0.000 3.238 3.238
3.238 0.000 3.238
3.238 3.238 0.000
Be P Cl
1 1 2
Cartesian
0.000 0.000 0.000
1.619 1.619 1.619
3.238 3.238 3.238
4.857 4.857 4.857
```

Results
SG = No. 216

***

Arrangement 3

A plane-wave DFT calculation with PBE was carried out for crystalline BePCl2 at its relaxed geometry.

POSCAR file:
```
BePCl2
1.0
-3.310 3.310 4.546
3.310 -3.310 4.546
3.310 3.310 -4.546
Be P Cl
2 2 4
Cartesian
0.000 0.000 0.000
0.000 3.310 2.273
3.310 0.000 2.273
0.000 0.000 4.546
0.511 1.655 1.137
-1.655 2.799 3.410
-0.511 4.965 1.137
1.655 3.821 3.410
```

Results
SG = No. 122

***

Arrangement 4

A plane-wave DFT calculation with PBE was carried out for crystalline BePCl2 at its relaxed geometry.

POSCAR file:
```
BePCl2
1.0
1.533 0.885 11.480
-1.533 0.885 11.480
0.000 -1.770 11.480
Be P Cl
1 1 2
Cartesian
0.000 0.000 0.000
0.000 0.000 17.220
0.000 0.000 12.775
0.000 0.000 21.665
```

Results
SG = No. 166

***

Verdict on stability: arrangement 2 comes out at the bottom.

***

Arrangement 1

A plane-wave DFT calculation with PBE was carried out for crystalline BePCl2 at its relaxed geometry.

POSCAR file:
```
BePCl2
1.0
3.075 0.000 0.000
0.000 3.929 0.000
0.000 0.000 5.748
Be P Cl
1 1 2
Cartesian
0.000 0.000 0.000
1.537 0.000 2.874
0.000 1.965 2.874
1.537 1.965 0.000
```

Results
SG = No. 47

***

Arrangement 2

A plane-wave DFT calculation with PBE was carried out for crystalline BePCl2 at its relaxed geometry.

POSCAR file:
```
BePCl2
1.0
1.534 -3.486 0.000
1.534 3.486 0.000
0.000 0.000 8.511
Be P Cl
1 1 2
Cartesian
0.000 0.000 0.000
1.534 0.000 1.598
0.000 0.000 3.377
1.534 0.000 7.178
```

Results
SG = No. 35

***

Verdict on stability: arrangement 1 comes out at the bottom.

***

Arrangement 1

A plane-wave DFT calculation with PBE was carried out for crystalline BePCl2 at its relaxed geometry.

POSCAR file:
```
BePCl2
1.0
0.000 3.207 3.207
3.207 0.000 3.207
3.207 3.207 0.000
Be P Cl
1 1 2
Cartesian
0.000 0.000 0.000
3.207 3.207 3.207
1.604 1.604 1.604
4.811 4.811 4.811
```

Results
SG = No. 225

***

Arrangement 2

A plane-wave DFT calculation with PBE was carried out for crystalline BePCl2 at its relaxed geometry.

POSCAR file:
```
BePCl2
1.0
3.002 -3.631 0.000
3.002 3.631 0.000
0.000 0.000 3.170
Be P Cl
1 1 2
Cartesian
0.000 0.000 0.000
3.002 0.000 0.000
1.501 1.815 1.585
1.501 -1.815 1.585
```

Results
SG = No. 65

***

Arrangement 3

A plane-wave DFT calculation with PBE was carried out for crystalline BePCl2 at its relaxed geometry.

POSCAR file:
```
BePCl2
1.0
1.446 -3.070 0.000
1.446 3.070 0.000
0.000 0.000 12.114
Be P Cl
1 1 2
Cartesian
0.000 0.000 0.000
0.000 0.000 6.057
1.446 0.000 1.465
1.446 0.000 10.649
```

Results
SG = No. 65

***

Arrangement 4

A plane-wave DFT calculation with PBE was carried out for crystalline BePCl2 at its relaxed geometry.

POSCAR file:
```
BePCl2
1.0
3.027 -5.790 0.000
3.027 5.790 0.000
0.000 0.000 2.961
Be P Cl
1 1 2
Cartesian
0.000 0.000 0.000
3.027 0.000 0.000
3.027 4.311 1.481
3.027 -4.311 1.481
```

Results
SG = No. 65

***

Verdict on stability: arrangement 1 comes out at the bottom.

***

Arrangement 1

A plane-wave DFT calculation with PBE was carried out for crystalline BeP2PdCl at its relaxed geometry.

POSCAR file:
```
BeP2PdCl
1.0
4.635 0.000 0.000
0.000 4.635 0.000
0.000 0.000 4.991
Be P Pd Cl
1 2 1 1
Cartesian
0.000 0.000 0.000
0.000 2.318 2.496
2.318 0.000 2.496
2.318 2.318 2.496
2.318 2.318 0.000
```

Results
SG = No. 123

***

Arrangement 2

A plane-wave DFT calculation with PBE was carried out for crystalline BeP2PdCl at its relaxed geometry.

POSCAR file:
```
BeP2PdCl
1.0
4.277 0.000 0.000
0.000 4.277 0.000
0.000 0.000 4.474
Be P Pd Cl
1 2 1 1
Cartesian
0.000 0.000 0.000
0.000 2.138 0.000
2.138 0.000 0.000
2.138 2.138 2.237
0.000 0.000 2.237
```

Results
SG = No. 123

***

Verdict on stability: arrangement 1 comes out at the bottom.

***

Arrangement 1

A plane-wave DFT calculation with PBE was carried out for crystalline BePPdCl2 at its relaxed geometry.

POSCAR file:
```
BePPdCl2
1.0
3.726 0.000 0.000
0.000 4.557 0.000
0.000 0.000 6.684
Be P Pd Cl
1 1 1 2
Cartesian
0.000 0.000 0.000
1.863 0.000 3.342
1.863 2.278 0.000
0.000 2.278 3.342
1.863 0.000 0.000
```

Results
SG = No. 47

***

Arrangement 2

A plane-wave DFT calculation with PBE was carried out for crystalline BePPdCl2 at its relaxed geometry.

POSCAR file:
```
BePPdCl2
1.0
4.856 0.000 0.000
0.000 4.856 0.000
0.000 0.000 4.741
Be P Pd Cl
1 1 1 2
Cartesian
0.000 0.000 0.000
2.428 2.428 0.000
2.428 2.428 2.370
0.000 2.428 2.370
2.428 0.000 2.370
```

Results
SG = No. 123

***

Verdict on stability: arrangement 1 comes out at the bottom.

***

Arrangement 1

A plane-wave DFT calculation with PBE was carried out for crystalline BeP2PtCl at its relaxed geometry.

POSCAR file:
```
BeP2PtCl
1.0
4.352 0.000 0.000
0.000 4.352 0.000
0.000 0.000 4.168
Be P Pt Cl
1 2 1 1
Cartesian
0.000 0.000 0.000
0.000 2.176 0.000
2.176 0.000 0.000
2.176 2.176 2.084
0.000 0.000 2.084
```

Results
SG = No. 123

***

Arrangement 2

A plane-wave DFT calculation with PBE was carried out for crystalline BeP2PtCl at its relaxed geometry.

POSCAR file:
```
BeP2PtCl
1.0
4.634 0.000 0.000
0.000 4.634 0.000
0.000 0.000 5.050
Be P Pt Cl
1 2 1 1
Cartesian
0.000 0.000 0.000
0.000 2.317 2.525
2.317 0.000 2.525
2.317 2.317 2.525
2.317 2.317 0.000
```

Results
SG = No. 123

***

Verdict on stability: arrangement 2 comes out at the bottom.